# 1
This record from Alexandria describes a relaxed structure of Li2CaN2. The functional is PBE.

## Properties
- M_tot: 0.00 μB per cell
- Uncorrected formation energy: -0.63 eV per formula unit

Cell: 5.924 5.924 3.564 Å, 90.00 90.00 90.00°
Fractional positions:
Li (0.129, 0.629, 0.500)
Li (0.629, 0.871, 0.500)
Li (0.871, 0.371, 0.500)
Li (0.371, 0.129, 0.500)
Ca (0.000, 0.000, 0.000)
Ca (0.500, 0.500, 0.000)
N (0.914, 0.586, 0.000)
N (0.086, 0.414, 0.000)
N (0.414, 0.914, 0.000)
N (0.586, 0.086, 0.000)

---

# 2
This record from Alexandria describes a relaxed structure of Zn3SiPb. The functional is PBE.

## Properties
- Energy above the most stable polymorph in this dataset: 0.0 kJ/mol of atoms
- M_tot: 0.00 μB per cell
- Uncorrected formation energy: 1.88 eV per formula unit

Cell: 4.816 4.816 4.816 Å, 90.00 90.00 90.00°
Fractional positions:
Zn (0.500, 0.000, 0.000)
Zn (0.000, 0.500, 0.000)
Zn (0.000, 0.000, 0.500)
Pb (0.500, 0.500, 0.500)
Si (0.000, 0.000, 0.000)

---

# 3
This record from Alexandria describes a relaxed structure of PrLuSc. The functional is PBE.

## Properties
- Energy above the most stable polymorph in this dataset: 3.2 kJ/mol of atoms
- M_tot: 0.00 μB per cell

Cell: 3.398 5.522 5.522 Å, 120.00 90.00 90.00°
Fractional positions:
Sc (0.167, 0.333, 0.667)
Lu (0.166, 0.000, 0.000)
Pr (0.667, 0.667, 0.333)

---

# 4
This record from Alexandria describes a relaxed structure of Tb3Y4Ho3. The functional is PBE.

## Properties
- Electronic total energy: -5.24 eV per atom
- M_tot: 0.00 μB per cell

Cell: 3.690 9.352 9.352 Å, 90.05 90.00 90.00°
Fractional positions:
Ho (0.500, 0.173, 0.827)
Ho (0.000, 0.499, 0.999)
Ho (0.000, 0.001, 0.501)
Y (0.000, 0.373, 0.627)
Y (0.000, 0.626, 0.374)
Y (0.000, 0.127, 0.126)
Y (0.000, 0.874, 0.873)
Tb (0.500, 0.828, 0.172)
Tb (0.500, 0.672, 0.673)
Tb (0.500, 0.327, 0.328)

---

# 5
This record from Alexandria describes a relaxed structure of CaTa2Se. The functional is PBE.

## Properties
- M_tot: 0.00 μB per cell
- Uncorrected formation energy: 1.11 eV per formula unit

Cell: 3.939 3.939 11.591 Å, 80.22 80.22 90.00°
Fractional positions:
Ta (0.375, 0.374, 0.750)
Ta (0.626, 0.125, 0.250)
Ta (0.124, 0.625, 0.250)
Ta (0.875, 0.876, 0.750)
Se (0.750, 0.250, 0.500)
Se (0.000, 0.000, 0.000)
Ca (0.250, 0.750, 0.500)
Ca (0.500, 0.500, 0.000)

---

# 6
This record from Alexandria describes a relaxed structure of AsC2. The functional is PBE.

## Properties
- Energy above the most stable polymorph in this dataset: 46.8 kJ/mol of atoms
- M_tot: 0.00 μB per cell

Cell: 5.780 4.959 3.460 Å, 84.71 58.69 36.60°
Fractional positions:
As (0.500, 0.500, 0.500)
C (0.279, 0.279, 0.721)
C (0.721, 0.721, 0.279)

---

# 7
This record from Alexandria describes a relaxed structure of NaHfSiPb2. The functional is PBE.

## Properties
- M_tot: 0.00 μB per cell
- Uncorrected formation energy: 2.47 eV per formula unit

Cell: 5.513 5.066 5.513 Å, 90.00 90.00 90.00°
Fractional positions:
Pb (0.500, 0.000, 0.000)
Pb (0.000, 0.000, 0.500)
Si (0.000, 0.000, 0.000)
Hf (0.000, 0.500, 0.000)
Na (0.500, 0.500, 0.500)

---

# 8
This record from Alexandria describes a relaxed structure of Eu2IBr. The functional is PBE.

## Properties
- M_tot: 14.78 μB per cell
- Uncorrected formation energy: -4.71 eV per formula unit

Cell: 4.487 4.487 7.948 Å, 73.60 73.60 60.00°
Fractional positions:
Eu (0.261, 0.261, 0.218)
Eu (0.739, 0.739, 0.782)
I (0.500, 0.500, 0.500)
Br (0.000, 0.000, 0.000)